(1)
VASP calculation (PBEsol) on an optimized crystal structure of SbSBr3F6.

Properties
The calculation puts the total magnetic moment at 0.00 Bohr magnetons per cell. The density of states at the Fermi level comes out at 0.00 states/eV/cell. The space-group type is No. 14.

POSCAR file:
```
SbSBr3F6
1.0
8.0233 0.0000 0.0000
0.0000 9.5887 0.0000
-1.5261 0.0000 12.2959
Sb S Br F
4 4 12 24
Direct
0.2021 0.2287 0.0656
0.2021 0.2713 0.5656
0.7979 0.7287 0.4344
0.7979 0.7713 0.9344
0.2079 0.6885 0.7102
0.2079 0.8115 0.2102
0.7921 0.1885 0.7898
0.7921 0.3115 0.2898
0.2063 0.5968 0.2638
0.2063 0.9032 0.7638
0.2648 0.5637 0.8563
0.2648 0.9363 0.3563
0.4339 0.6751 0.6301
0.4339 0.8249 0.1301
0.5661 0.1751 0.8699
0.5661 0.3249 0.3699
0.7352 0.0637 0.6437
0.7352 0.4363 0.1437
0.7937 0.0968 0.2362
0.7937 0.4032 0.7362
0.0081 0.7235 0.0146
0.0081 0.7765 0.5146
0.1164 0.0514 0.1017
0.1164 0.4486 0.6017
0.1313 0.1932 0.6944
0.1313 0.3068 0.1944
0.2729 0.1498 0.9360
0.2729 0.3502 0.4360
0.2921 0.0942 0.5291
0.2921 0.4058 0.0291
0.4152 0.1828 0.1420
0.4152 0.3172 0.6420
0.5848 0.6828 0.3580
0.5848 0.8172 0.8580
0.7079 0.5942 0.9709
0.7079 0.9058 0.4709
0.7271 0.6498 0.5640
0.7271 0.8502 0.0640
0.8687 0.6932 0.8056
0.8687 0.8068 0.3056
0.8836 0.5514 0.3983
0.8836 0.9486 0.8983
0.9919 0.2235 0.4854
0.9919 0.2765 0.9854
```

=====

(2)
VASP calculation (PBEsol) on an optimized crystal structure of SbSBr3F6.

Properties
The calculation puts the total magnetic moment at 0.00 Bohr magnetons per cell. The density of states at the Fermi level comes out at 0.00 states/eV/cell. The space-group type is No. 19.

POSCAR file:
```
SbSBr3F6
1.0
8.2316 0.0000 0.0000
0.0000 9.4714 0.0000
0.0000 0.0000 12.3212
Sb S Br F
4 4 12 24
Direct
0.1953 0.0479 0.1954
0.3047 0.9521 0.6954
0.6953 0.4521 0.8046
0.8047 0.5479 0.3046
0.1521 0.4725 0.0156
0.3479 0.5275 0.5156
0.6521 0.0275 0.9844
0.8479 0.9725 0.4844
0.1361 0.4939 0.6182
0.1473 0.6636 0.9182
0.2173 0.3112 0.8986
0.2827 0.6888 0.3986
0.3527 0.3364 0.4182
0.3639 0.5061 0.1182
0.6361 0.0061 0.3818
0.6473 0.8364 0.0818
0.7173 0.1888 0.1014
0.7827 0.8112 0.6014
0.8527 0.1636 0.5818
0.8639 0.9939 0.8818
0.0249 0.9633 0.1149
0.0649 0.0566 0.3226
0.1256 0.2334 0.1570
0.1262 0.8730 0.7778
0.1662 0.9547 0.5713
0.2259 0.1349 0.7367
0.2741 0.8651 0.2367
0.3338 0.0453 0.0713
0.3738 0.1270 0.2778
0.3744 0.7666 0.6570
0.4351 0.9434 0.8226
0.4751 0.0367 0.6149
0.5249 0.5367 0.8851
0.5649 0.4434 0.6774
0.6256 0.2666 0.8430
0.6262 0.6270 0.2222
0.6662 0.5453 0.4287
0.7259 0.3651 0.2633
0.7741 0.6349 0.7633
0.8338 0.4547 0.9287
0.8738 0.3730 0.7222
0.8744 0.7334 0.3430
0.9351 0.5566 0.1774
0.9751 0.4633 0.3851
```

=====

Table of formation energy without anion corrections (meV per atom), in record order: -1481, -1480